(1)
A geometry-optimized Nb3CdSb structure. Source: Alexandria via LeMat-Bulk, functional PBE.

- DFT total energy: -28.48 eV per formula unit
- Density of states at the Fermi level: 1.78 states/eV/atom
- Energy above the most stable polymorph in this dataset: 0.0000 eV/atom

```
data_Nb3CdSb
_cell_length_a 5.059
_cell_length_b 5.059
_cell_length_c 5.059
_cell_angle_alpha 90.00
_cell_angle_beta 90.00
_cell_angle_gamma 90.00
_space_group_name_H-M_alt 'P 1'
_space_group_IT_number 1
_space_group_name_Hall 'P 1'
loop_
_atom_site_label
_atom_site_fract_x
_atom_site_fract_y
_atom_site_fract_z
Nb1 0.000 0.000 0.500
Nb2 0.000 0.500 0.000
Nb3 0.500 0.000 0.000
Cd1 0.500 0.500 0.500
Sb1 0.000 0.000 0.000
```



(2)
A geometry-optimized SrBSb2I structure. Source: Alexandria via LeMat-Bulk, functional PBE.

- DFT total energy: -17.60 eV per formula unit
- Density of states at the Fermi level: 0.41 states/eV/atom
- Energy above the most stable polymorph in this dataset: 0.0000 eV/atom

```
data_SrBSb2I
_cell_length_a 4.730
_cell_length_b 4.730
_cell_length_c 6.860
_cell_angle_alpha 90.00
_cell_angle_beta 90.00
_cell_angle_gamma 90.00
_space_group_name_H-M_alt 'P 1'
_space_group_IT_number 1
_space_group_name_Hall 'P 1'
loop_
_atom_site_label
_atom_site_fract_x
_atom_site_fract_y
_atom_site_fract_z
Sr1 0.000 0.000 0.000
B1 0.500 0.500 0.500
Sb1 0.000 0.500 0.500
Sb2 0.500 0.000 0.500
I1 0.500 0.500 0.000
```



(3)
A geometry-optimized K8HgSb2 structure. Source: Alexandria via LeMat-Bulk, functional PBE.

- DFT total energy: -20.57 eV per formula unit
- Density of states at the Fermi level: 0.39 states/eV/atom

```
data_K8HgSb2
_cell_length_a 10.087
_cell_length_b 10.087
_cell_length_c 10.087
_cell_angle_alpha 146.18
_cell_angle_beta 121.85
_cell_angle_gamma 68.99
_space_group_name_H-M_alt 'P 1'
_space_group_IT_number 1
_space_group_name_Hall 'P 1'
loop_
_atom_site_label
_atom_site_fract_x
_atom_site_fract_y
_atom_site_fract_z
K1 0.123 0.338 0.784
K2 0.156 0.156 0.000
K3 0.318 0.000 0.318
K4 0.446 0.662 0.784
K5 0.554 0.338 0.216
K6 0.682 0.000 0.682
K7 0.844 0.844 0.000
K8 0.877 0.662 0.216
Hg1 0.000 0.500 0.500
Sb1 0.306 0.806 0.500
Sb2 0.694 0.194 0.500
```



(4)
A geometry-optimized Ti2SnTe structure. Source: Alexandria via LeMat-Bulk, functional PBE.

- DFT total energy: -23.57 eV per formula unit
- Density of states at the Fermi level: 1.29 states/eV/atom
- Energy above the most stable polymorph in this dataset: 0.0000 eV/atom

```
data_Ti2SnTe
_cell_length_a 4.844
_cell_length_b 4.844
_cell_length_c 4.844
_cell_angle_alpha 60.00
_cell_angle_beta 60.00
_cell_angle_gamma 60.00
_space_group_name_H-M_alt 'P 1'
_space_group_IT_number 1
_space_group_name_Hall 'P 1'
loop_
_atom_site_label
_atom_site_fract_x
_atom_site_fract_y
_atom_site_fract_z
Ti1 0.250 0.250 0.250
Ti2 0.750 0.750 0.750
Sn1 0.000 0.000 0.000
Te1 0.500 0.500 0.500
```



(5)
A geometry-optimized HfNpSe3 structure. Source: Alexandria via LeMat-Bulk, functional PBE.

- DFT total energy: -39.27 eV per formula unit
- Density of states at the Fermi level: 1.72 states/eV/atom

```
data_HfNpSe3
_cell_length_a 8.615
_cell_length_b 3.791
_cell_length_c 14.279
_cell_angle_alpha 90.00
_cell_angle_beta 90.00
_cell_angle_gamma 90.00
_space_group_name_H-M_alt 'P 1'
_space_group_IT_number 1
_space_group_name_Hall 'P 1'
loop_
_atom_site_label
_atom_site_fract_x
_atom_site_fract_y
_atom_site_fract_z
Hf1 0.170 0.250 0.043
Hf2 0.330 0.750 0.543
Hf3 0.670 0.250 0.457
Hf4 0.830 0.750 0.957
Np1 0.145 0.750 0.302
Np2 0.355 0.250 0.802
Np3 0.645 0.750 0.198
Np4 0.855 0.250 0.698
Se1 0.013 0.250 0.881
Se2 0.151 0.750 0.696
Se3 0.160 0.250 0.461
Se4 0.340 0.750 0.961
Se5 0.349 0.250 0.196
Se6 0.487 0.750 0.381
Se7 0.513 0.250 0.619
Se8 0.651 0.750 0.804
Se9 0.660 0.250 0.039
Se10 0.840 0.750 0.539
Se11 0.849 0.250 0.304
Se12 0.987 0.750 0.119
```



(6)
A geometry-optimized PrPa5S6 structure. Source: Alexandria via LeMat-Bulk, functional PBE.

- DFT total energy: -96.80 eV per formula unit
- Density of states at the Fermi level: 1.55 states/eV/atom

```
data_PrPa5S6
_cell_length_a 6.790
_cell_length_b 6.790
_cell_length_c 6.933
_cell_angle_alpha 99.53
_cell_angle_beta 99.53
_cell_angle_gamma 121.47
_space_group_name_H-M_alt 'P 1'
_space_group_IT_number 1
_space_group_name_Hall 'P 1'
loop_
_atom_site_label
_atom_site_fract_x
_atom_site_fract_y
_atom_site_fract_z
Pr1 0.000 0.000 0.000
Pa1 0.162 0.838 0.500
Pa2 0.332 0.668 0.000
Pa3 0.500 0.500 0.500
Pa4 0.668 0.332 0.000
Pa5 0.838 0.162 0.500
S1 0.086 0.426 0.255
S2 0.259 0.259 0.751
S3 0.426 0.086 0.255
S4 0.574 0.914 0.745
S5 0.741 0.741 0.249
S6 0.914 0.574 0.745
```



| no. | formation energy from raw total energies (meV per atom) |
| --- | --- |
| 1 | 1353.9 |
| 2 | 110.3 |
| 3 | -294.5 |
| 4 | -159.0 |
| 5 | -1185.0 |
| 6 | -1647.8 |